# 1
# PBE Te2MoRh, relaxed
data_Te2MoRh
_chemical_formula_sum 'Te4 Mo2 Rh2'
_space_group_name_H-M_alt 'C 1 m 1'
_space_group_IT_number 8
_cell_length_a 9.803
_cell_length_b 3.445
_cell_length_c 4.695
_cell_angle_alpha 90.00
_cell_angle_beta 101.34
_cell_angle_gamma 90.00
loop_
_space_group_symop_operation_xyz
'x,y,z'
'x,-y,z'
'x+1/2,y+1/2,z'
'x+1/2,-y+1/2,z'
loop_
_atom_site_label
_atom_site_type_symbol
_atom_site_fract_x
_atom_site_fract_y
_atom_site_fract_z
_atom_site_occupancy
Te1 Te 0.000 0.000 0.000 1
Te2 Te 0.242 0.000 0.576 1
Mo1 Mo 0.015 0.500 0.460 1
Rh1 Rh 0.242 0.500 0.091 1
# **Distance to the lowest polymorph of the same formula**: 241.6 meV per atom
# **Formation energy (no corrections)**: 0.1353 eV per atom
# **Fermi-level density of states**: 0.85 states/eV/atom



# 2
# PBE Te2MoRh, relaxed
data_Te2MoRh
_chemical_formula_sum 'Te2 Mo1 Rh1'
_space_group_name_H-M_alt 'P 4/m m m'
_space_group_IT_number 123
_space_group_name_Hall '-P 4 2'
_cell_length_a 4.693
_cell_length_b 4.693
_cell_length_c 3.407
_cell_angle_alpha 90.00
_cell_angle_beta 90.00
_cell_angle_gamma 90.00
loop_
_atom_site_label
_atom_site_type_symbol
_atom_site_fract_x
_atom_site_fract_y
_atom_site_fract_z
_atom_site_occupancy
Te1 Te 0.000 0.500 0.000 1
Mo1 Mo 0.000 0.000 0.500 1
Rh1 Rh 0.500 0.500 0.500 1
# **Distance to the lowest polymorph of the same formula**: 311.7 meV per atom
# **Formation energy (no corrections)**: 0.2054 eV per atom
# **Fermi-level density of states**: 0.89 states/eV/atom



> The highest distance to the lowest polymorph of the same formula belongs to which entry?

number 2



> Which value of distance to the lowest polymorph of the same formula does entry 2 give?

311.7 meV per atom



> Which of these has the highest formation energy (no corrections)?

number 2